Record 1
DFT (PBE) results for crystalline DyMnGa at its relaxed geometry.

abc: 3.937 7.204 7.204
angles: 120.38 90.00 90.00
Atoms (fractional coordinates):
Dy (0.000, 0.000, 0.000)
Dy (0.000, 0.174, 0.582)
Dy (0.000, 0.582, 0.174)
Mn (0.500, 0.246, 0.917)
Mn (0.500, 0.341, 0.341)
Mn (0.500, 0.917, 0.246)
Ga (0.000, 0.579, 0.579)
Ga (0.500, 0.576, 0.837)
Ga (0.500, 0.837, 0.576)

As for the calculated density: 8.117 g/cm³. The formation energy is -0.172 eV per atom.

=====

Record 2
DFT (PBE) results for crystalline DyMn6Ga6 at its relaxed geometry.

abc: 6.615 6.615 6.615
angles: 133.86 98.92 98.75
Atoms (fractional coordinates):
Dy (0.000, 0.000, 0.000)
Mn (0.000, 0.000, 0.500)
Mn (0.000, 0.500, 0.000)
Mn (0.243, 0.743, 0.500)
Mn (0.500, 0.000, 0.000)
Mn (0.500, 0.500, 0.500)
Mn (0.757, 0.257, 0.500)
Ga (0.191, 0.500, 0.691)
Ga (0.334, 0.334, 0.000)
Ga (0.343, 0.000, 0.343)
Ga (0.657, 0.000, 0.657)
Ga (0.666, 0.666, 0.000)
Ga (0.809, 0.500, 0.309)

As for the calculated density: 7.873 g/cm³. The formation energy is -0.212 eV per atom.

=====

Record 3
DFT (PBE) results for crystalline DyMnGa at its relaxed geometry.

abc: 7.465 7.465 3.663
angles: 90.00 90.00 120.00
Atoms (fractional coordinates):
Dy (0.000, 0.603, 0.000)
Dy (0.397, 0.397, 0.000)
Dy (0.603, 0.000, 0.000)
Mn (0.000, 0.000, 0.000)
Mn (0.333, 0.667, 0.500)
Mn (0.667, 0.333, 0.500)
Ga (0.000, 0.274, 0.500)
Ga (0.274, 0.000, 0.500)
Ga (0.726, 0.726, 0.500)

As for the calculated density: 8.090 g/cm³. The formation energy is -0.197 eV per atom.

=====

Record 4
DFT (PBE) results for crystalline DyMnGa4 at its relaxed geometry.

abc: 6.182 6.182 7.546
angles: 91.40 91.40 54.52
Atoms (fractional coordinates):
Dy (0.124, 0.876, 0.750)
Dy (0.876, 0.124, 0.250)
Mn (0.000, 0.500, 0.500)
Mn (0.500, 0.000, 0.000)
Ga (0.086, 0.396, 0.837)
Ga (0.313, 0.582, 0.391)
Ga (0.396, 0.086, 0.337)
Ga (0.418, 0.687, 0.109)
Ga (0.582, 0.313, 0.891)
Ga (0.604, 0.914, 0.663)
Ga (0.687, 0.418, 0.609)
Ga (0.914, 0.604, 0.163)

As for the calculated density: 7.023 g/cm³. The formation energy is -0.156 eV per atom.

=====

Question: Which of these has the highest calculated density?
Answer: number 1

=====

Please write out number 1 again, unchanged.
DFT (PBE) results for crystalline DyMnGa at its relaxed geometry.

abc: 3.937 7.204 7.204
angles: 120.38 90.00 90.00
Atoms (fractional coordinates):
Dy (0.000, 0.000, 0.000)
Dy (0.000, 0.174, 0.582)
Dy (0.000, 0.582, 0.174)
Mn (0.500, 0.246, 0.917)
Mn (0.500, 0.341, 0.341)
Mn (0.500, 0.917, 0.246)
Ga (0.000, 0.579, 0.579)
Ga (0.500, 0.576, 0.837)
Ga (0.500, 0.837, 0.576)

As for the calculated density: 8.117 g/cm³. The formation energy is -0.172 eV per atom.